Record 1
Density functional theory data (GGA-PBE) for DyY3Tm2 after structural relaxation.

a = 9.3658 Å, b = 9.3658 Å, c = 6.1264 Å
α = 90.01°, β = 90.01°, γ = 44.40°
Element x y z (fractional)
Dy 0.1253 0.8747 0.7500
Dy 0.8747 0.1253 0.2500
Y 0.0420 0.2922 0.5834
Y 0.2922 0.0420 0.0834
Y 0.3752 0.6248 0.2500
Y 0.6248 0.3752 0.7500
Y 0.7078 0.9580 0.9166
Y 0.9580 0.7078 0.4166
Tm 0.2083 0.4579 0.9170
Tm 0.4579 0.2083 0.4170
Tm 0.5421 0.7917 0.5830
Tm 0.7917 0.5421 0.0830

Uncorrected energy in eV/atom: -5.462
Magnetization in μB per atom: 0.0000
Formation energy from the elements in kJ per mole of atoms: 3
Symmetry: C2/c

Record 2
Density functional theory data (GGA-PBE) for Na3GaHg12 after structural relaxation.

a = 4.8069 Å, b = 4.8069 Å, c = 17.8651 Å
α = 90.00°, β = 90.00°, γ = 90.00°
Element x y z (fractional)
Na 0.0000 0.0000 0.0000
Na 0.0000 0.0000 0.2574
Na 0.0000 0.0000 0.7426
Ga 0.0000 0.0000 0.5000
Hg 0.0000 0.5000 0.1292
Hg 0.0000 0.5000 0.3822
Hg 0.0000 0.5000 0.6178
Hg 0.0000 0.5000 0.8708
Hg 0.5000 0.0000 0.1292
Hg 0.5000 0.0000 0.3822
Hg 0.5000 0.0000 0.6178
Hg 0.5000 0.0000 0.8708
Hg 0.5000 0.5000 0.0000
Hg 0.5000 0.5000 0.2568
Hg 0.5000 0.5000 0.5000
Hg 0.5000 0.5000 0.7432

Uncorrected energy in eV/atom: -0.785
Magnetization in μB per atom: 0.0000
Formation energy from the elements in kJ per mole of atoms: -12
Symmetry: P4/mmm

Record 3
Density functional theory data (GGA-PBE) for ScCd2Se after structural relaxation.

a = 8.6675 Å, b = 8.6675 Å, c = 8.6675 Å
α = 24.74°, β = 24.74°, γ = 24.74°
Element x y z (fractional)
Sc 0.0000 0.0000 0.0000
Cd 0.2430 0.2430 0.2430
Cd 0.4929 0.4929 0.4929
Se 0.7265 0.7265 0.7265

Uncorrected energy in eV/atom: -3.464
Magnetization in μB per atom: 0.0000
E_form (uncorrected) in eV per atom: -0.55
Symmetry: R3m

Record 4
Density functional theory data (GGA-PBE) for HoLuAs2 after structural relaxation.

a = 7.0392 Å, b = 7.0392 Å, c = 7.0392 Å
α = 33.60°, β = 33.60°, γ = 33.60°
Element x y z (fractional)
Ho 0.0000 0.0000 0.0000
Lu 0.5000 0.5000 0.5000
As 0.2485 0.2485 0.2485
As 0.7515 0.7515 0.7515

Uncorrected energy in eV/atom: -6.100
Magnetization in μB per atom: 0.0000
Formation energy from the elements in kJ per mole of atoms: -145
Symmetry: R-3m

Record 5
Density functional theory data (GGA-PBE) for CsNa2GaPt after structural relaxation.

a = 5.7478 Å, b = 5.7478 Å, c = 4.8741 Å
α = 90.00°, β = 90.00°, γ = 90.00°
Element x y z (fractional)
Cs 0.0000 0.0000 0.0000
Na 0.0000 0.5000 0.5000
Na 0.5000 0.0000 0.5000
Ga 0.5000 0.5000 0.0000
Pt 0.5000 0.5000 0.5000

Uncorrected energy in eV/atom: -2.713
Magnetization in μB per atom: 0.0000
Formation energy from the elements in kJ per mole of atoms: -19
Symmetry: P4/mmm

Record 6
Density functional theory data (GGA-PBE) for AgOsW after structural relaxation.

a = 4.3064 Å, b = 4.3064 Å, c = 4.3064 Å
α = 60.00°, β = 60.00°, γ = 60.00°
Element x y z (fractional)
Ag 0.0000 0.0000 0.0000
Os 0.7500 0.7500 0.7500
W 0.5000 0.5000 0.5000

Distance to the lowest polymorph of the same formula in meV per atom: 612
Uncorrected energy in eV/atom: -8.034
Magnetization in μB per atom: 0.0000
Formation energy from the elements in kJ per mole of atoms: 94
Symmetry: F-43m

Record 7
Density functional theory data (GGA-PBE) for Os5W after structural relaxation.

a = 5.0478 Å, b = 5.0478 Å, c = 4.4221 Å
α = 90.00°, β = 90.00°, γ = 120.00°
Element x y z (fractional)
Os 0.0000 0.5000 0.0000
Os 0.3333 0.6667 0.5000
Os 0.5000 0.0000 0.0000
Os 0.5000 0.5000 0.0000
Os 0.6667 0.3333 0.5000
W 0.0000 0.0000 0.5000

Distance to the lowest polymorph of the same formula in meV per atom: 940
Uncorrected energy in eV/atom: -10.606
Magnetization in μB per atom: 0.0446
Formation energy from the elements in kJ per mole of atoms: 88
Symmetry: P6/mmm

Record 8
Density functional theory data (GGA-PBE) for Ca4Dy3TmSe8 after structural relaxation.

a = 8.2990 Å, b = 8.2990 Å, c = 8.2990 Å
α = 59.17°, β = 59.17°, γ = 59.17°
Element x y z (fractional)
Ca 0.0000 0.0000 0.0000
Ca 0.0000 0.5000 0.5000
Ca 0.5000 0.0000 0.5000
Ca 0.5000 0.5000 0.0000
Dy 0.0000 0.0000 0.5000
Dy 0.0000 0.5000 0.0000
Dy 0.5000 0.0000 0.0000
Tm 0.5000 0.5000 0.5000
Se 0.2486 0.2486 0.2486
Se 0.2507 0.7465 0.7465
Se 0.2535 0.2535 0.7493
Se 0.2535 0.7493 0.2535
Se 0.7465 0.2507 0.7465
Se 0.7465 0.7465 0.2507
Se 0.7493 0.2535 0.2535
Se 0.7514 0.7514 0.7514

Uncorrected energy in eV/atom: -5.249
Magnetization in μB per atom: 0.0000
E_form (uncorrected) in eV per atom: -1.86
Symmetry: R-3m